# TcRh2Se, relaxed, DFT GGA-PBE
# uncorrected energy	-7.005	eV/atom
data_TcRh2Se
_symmetry_space_group_name_H-M 'P 4 m m'
_symmetry_Int_Tables_number 99
_symmetry_space_group_name_Hall 'P 4 -2'
_cell_length_a 2.944
_cell_length_b 2.944
_cell_length_c 6.870
_cell_angle_alpha 90.00
_cell_angle_beta 90.00
_cell_angle_gamma 90.00
loop_
_atom_site_label
_atom_site_fract_x
_atom_site_fract_y
_atom_site_fract_z
Tc1 0.000 0.000 0.000
Rh1 0.000 0.000 0.527
Rh2 0.500 0.500 0.243
Se1 0.500 0.500 0.762

***

# HgHO, relaxed, DFT GGA-PBE
# uncorrected energy	-2.904	eV/atom
data_HgHO
_symmetry_space_group_name_H-M 'P 1'
_symmetry_Int_Tables_number 1
_symmetry_space_group_name_Hall 'P 1'
_cell_length_a 4.024
_cell_length_b 4.333
_cell_length_c 6.663
_cell_angle_alpha 99.38
_cell_angle_beta 95.68
_cell_angle_gamma 90.19
loop_
_atom_site_label
_atom_site_fract_x
_atom_site_fract_y
_atom_site_fract_z
Hg1 0.000 0.000 0.000
Hg2 0.445 0.406 0.690
H1 0.662 0.713 0.289
H2 0.743 0.680 0.390
O1 0.489 0.964 0.939
O2 0.956 0.426 0.752

***

# NaSr2H2, relaxed, DFT GGA-PBE
# uncorrected energy	-2.261	eV/atom
data_NaSr2H2
_symmetry_space_group_name_H-M 'P 4/m b m'
_symmetry_Int_Tables_number 127
_symmetry_space_group_name_Hall '-P 4 2ab'
_cell_length_a 7.782
_cell_length_b 7.782
_cell_length_c 3.823
_cell_angle_alpha 90.00
_cell_angle_beta 90.00
_cell_angle_gamma 90.00
loop_
_atom_site_label
_atom_site_fract_x
_atom_site_fract_y
_atom_site_fract_z
Na1 0.000 0.000 0.000
Sr1 0.167 0.333 0.500
H1 0.133 0.633 0.000

***

# MgTlBr2, relaxed, DFT GGA-PBE
# uncorrected energy	-2.597	eV/atom
data_MgTlBr2
_symmetry_space_group_name_H-M 'I m m 2'
_symmetry_Int_Tables_number 44
_symmetry_space_group_name_Hall 'I 2 -2'
_cell_length_a 3.610
_cell_length_b 4.600
_cell_length_c 15.113
_cell_angle_alpha 90.00
_cell_angle_beta 90.00
_cell_angle_gamma 90.00
loop_
_atom_site_label
_atom_site_fract_x
_atom_site_fract_y
_atom_site_fract_z
Mg1 0.000 0.000 0.000
Tl1 0.000 0.500 0.710
Br1 0.000 0.000 0.556
Br2 0.000 0.500 0.372